[1]
# CeZn2Ag (PBE, optimized geometry)
# space-group type = Amm2, No. 38
# energy of formation from the pure elements = -0.212 eV/atom
# relative energy among the computed polymorphs = 0 meV/atom
data_CeZn2Ag
_chemical_formula_sum 'Ce2 Zn4 Ag2'
_space_group_name_H-M_alt 'P 1'
_space_group_IT_number 1
_cell_length_a 4.511
_cell_length_b 5.678
_cell_length_c 6.881
_cell_angle_alpha 90.00
_cell_angle_beta 90.00
_cell_angle_gamma 113.41
loop_
_space_group_symop_operation_xyz
'x,y,z'
loop_
_atom_site_label
_atom_site_fract_x
_atom_site_fract_y
_atom_site_fract_z
_atom_site_occupancy
Ce1 0.752 0.504 0.500 1
Ce2 0.580 0.160 0.000 1
Zn1 0.037 0.074 0.690 1
Zn2 0.037 0.074 0.310 1
Zn3 0.881 0.761 0.000 1
Zn4 0.463 0.926 0.500 1
Ag1 0.290 0.579 0.800 1
Ag2 0.290 0.579 0.200 1

***

[2]
# Ce2Zn3Ag4 (PBE, optimized geometry)
# space-group type = Fmmm, No. 69
# energy of formation from the pure elements = -0.204 eV/atom
data_Ce2Zn3Ag4
_chemical_formula_sum 'Ce2 Zn3 Ag4'
_space_group_name_H-M_alt 'P 1'
_space_group_IT_number 1
_cell_length_a 5.370
_cell_length_b 5.416
_cell_length_c 7.616
_cell_angle_alpha 79.93
_cell_angle_beta 69.36
_cell_angle_gamma 60.28
loop_
_space_group_symop_operation_xyz
'x,y,z'
loop_
_atom_site_label
_atom_site_fract_x
_atom_site_fract_y
_atom_site_fract_z
_atom_site_occupancy
Ce1 0.628 0.000 0.744 1
Ce2 0.372 0.000 0.256 1
Zn1 0.000 0.500 0.000 1
Zn2 0.000 0.000 0.000 1
Zn3 0.500 0.500 0.000 1
Ag1 0.991 0.676 0.342 1
Ag2 0.667 0.324 0.342 1
Ag3 0.009 0.324 0.658 1
Ag4 0.333 0.676 0.658 1

***

[3]
# Ce4ZnAg (PBE, optimized geometry)
# space-group type = C2/c, No. 15
# energy of formation from the pure elements = -0.019 eV/atom
data_Ce4ZnAg
_chemical_formula_sum 'Ce8 Zn2 Ag2'
_space_group_name_H-M_alt 'P 1'
_space_group_IT_number 1
_cell_length_a 5.245
_cell_length_b 6.192
_cell_length_c 9.085
_cell_angle_alpha 70.08
_cell_angle_beta 90.01
_cell_angle_gamma 90.04
loop_
_space_group_symop_operation_xyz
'x,y,z'
loop_
_atom_site_label
_atom_site_fract_x
_atom_site_fract_y
_atom_site_fract_z
_atom_site_occupancy
Ce1 0.798 0.287 0.422 1
Ce2 0.741 0.090 0.769 1
Ce3 0.298 0.209 0.578 1
Ce4 0.241 0.359 0.231 1
Ce5 0.202 0.713 0.578 1
Ce6 0.702 0.791 0.422 1
Ce7 0.259 0.910 0.231 1
Ce8 0.759 0.641 0.769 1
Zn1 0.250 0.793 0.914 1
Zn2 0.750 0.207 0.086 1
Ag1 0.250 0.297 0.906 1
Ag2 0.750 0.703 0.094 1

***

[4]
# Ce6Zn2Ag (PBE, optimized geometry)
# space-group type = P6/mmm, No. 191
# energy of formation from the pure elements = -0.068 eV/atom
data_Ce6Zn2Ag
_chemical_formula_sum 'Ce6 Zn2 Ag1'
_space_group_name_H-M_alt 'P 1'
_space_group_IT_number 1
_cell_length_a 2.901
_cell_length_b 8.890
_cell_length_c 8.890
_cell_angle_alpha 120.00
_cell_angle_beta 90.00
_cell_angle_gamma 90.00
loop_
_space_group_symop_operation_xyz
'x,y,z'
loop_
_atom_site_label
_atom_site_fract_x
_atom_site_fract_y
_atom_site_fract_z
_atom_site_occupancy
Ce1 0.500 0.339 0.339 1
Ce2 0.500 0.661 0.661 1
Ce3 0.500 0.000 0.661 1
Ce4 0.500 0.661 0.000 1
Ce5 0.500 0.339 0.000 1
Ce6 0.500 0.000 0.339 1
Zn1 0.000 0.333 0.667 1
Zn2 0.000 0.667 0.333 1
Ag1 0.000 0.000 0.000 1

***

no.,magnetic moment (μB/f.u.),mass density (g/cm³)
1,0.83,7.78
2,1.53,8.38
3,0.00,8.78
4,1.93,9.03